Entry 1:
# GGA-PBE BaBiS2Cl, relaxed
data_BaBiS2Cl
_symmetry_space_group_name_H-M 'P 1'
_symmetry_Int_Tables_number 1
_symmetry_space_group_name_Hall 'P 1'
_cell_length_a 5.836
_cell_length_b 5.836
_cell_length_c 5.603
_cell_angle_alpha 90.00
_cell_angle_beta 90.00
_cell_angle_gamma 90.00
loop_
_atom_site_label
_atom_site_fract_x
_atom_site_fract_y
_atom_site_fract_z
S1 0.000 0.500 0.000
S2 0.500 0.000 0.000
Bi1 0.500 0.500 0.500
Cl1 0.000 0.000 0.500
Ba1 0.000 0.000 0.000
# - space-group type = P4/mmm (123)
# - M_tot (μB/atom) = 0.00
# - energy above the lowest structure with this stoichiometry (eV/atom) = 0.994

***

Entry 2:
# GGA-PBE TbCeGaSi, relaxed
data_TbCeGaSi
_symmetry_space_group_name_H-M 'P 1'
_symmetry_Int_Tables_number 1
_symmetry_space_group_name_Hall 'P 1'
_cell_length_a 4.349
_cell_length_b 3.994
_cell_length_c 5.894
_cell_angle_alpha 90.00
_cell_angle_beta 111.65
_cell_angle_gamma 90.00
loop_
_atom_site_label
_atom_site_fract_x
_atom_site_fract_y
_atom_site_fract_z
Ce1 0.856 0.500 0.713
Si1 0.574 0.500 0.148
Tb1 0.140 0.000 0.280
Ga1 0.429 0.000 0.859
# - space-group type = Amm2 (38)
# - M_tot (μB/atom) = 0.29
# - energy above the lowest structure with this stoichiometry (eV/atom) = 0.000

***

Entry 3:
# GGA-PBE HfNbC3, relaxed
data_HfNbC3
_symmetry_space_group_name_H-M 'P 1'
_symmetry_Int_Tables_number 1
_symmetry_space_group_name_Hall 'P 1'
_cell_length_a 4.117
_cell_length_b 4.117
_cell_length_c 4.117
_cell_angle_alpha 90.00
_cell_angle_beta 90.00
_cell_angle_gamma 90.00
loop_
_atom_site_label
_atom_site_fract_x
_atom_site_fract_y
_atom_site_fract_z
Nb1 0.500 0.500 0.500
C1 0.000 0.500 0.000
Hf1 0.000 0.000 0.000
C2 0.500 0.000 0.000
C3 0.000 0.000 0.500
# - formation enthalpy at 0 K (meV per atom) = 1891
# - space-group type = Pm-3m (221)
# - M_tot (μB/atom) = 0.00
# - energy above the lowest structure with this stoichiometry (eV/atom) = 0.531

***

Entry 4:
# GGA-PBE Cs3BaRe2O8, relaxed
data_Cs3BaRe2O8
_symmetry_space_group_name_H-M 'P 1'
_symmetry_Int_Tables_number 1
_symmetry_space_group_name_Hall 'P 1'
_cell_length_a 6.635
_cell_length_b 6.635
_cell_length_c 8.591
_cell_angle_alpha 90.00
_cell_angle_beta 90.00
_cell_angle_gamma 120.00
loop_
_atom_site_label
_atom_site_fract_x
_atom_site_fract_y
_atom_site_fract_z
Cs1 0.000 0.000 0.000
Re1 0.333 0.667 0.227
O1 0.333 0.667 0.018
Cs2 0.667 0.333 0.319
O2 0.815 0.630 0.690
O3 0.667 0.333 0.982
O4 0.815 0.185 0.690
Cs3 0.333 0.667 0.681
O5 0.185 0.815 0.310
O6 0.630 0.815 0.310
Ba1 0.000 0.000 0.500
O7 0.185 0.370 0.310
O8 0.370 0.185 0.690
Re2 0.667 0.333 0.773
# - final energy (eV per atom) = -6.737
# - space-group type = P-3m1 (164)
# - M_tot (μB/atom) = 0.21

***

| no. | volume (Å³ per atom) |
| --- | --- |
| 1 | 38.163 |
| 2 | 23.788 |
| 3 | 13.953 |
| 4 | 23.396 |